Entry 1:
# Si2Ag2Sb PBE relaxed
data_Si2Ag2Sb
_chemical_formula_sum 'Si4 Ag4 Sb2'
_space_group_name_H-M_alt 'I 4/m m m'
_space_group_IT_number 139
_space_group_name_Hall '-I 4 2'
_cell_length_a 3.462
_cell_length_b 3.462
_cell_length_c 16.646
_cell_angle_alpha 90.00
_cell_angle_beta 90.00
_cell_angle_gamma 90.00
loop_
_atom_site_label
_atom_site_type_symbol
_atom_site_fract_x
_atom_site_fract_y
_atom_site_fract_z
Si1 Si 0.000 0.500 0.250
Ag1 Ag 0.000 0.000 0.112
Sb1 Sb 0.000 0.000 0.500
# Formation energy from raw total energies, eV per atom: 0.3126

---

Entry 2:
# FeAs2Pt PBE relaxed
data_FeAs2Pt
_chemical_formula_sum 'Fe4 As8 Pt4'
_space_group_name_H-M_alt 'F -4 3 m'
_space_group_IT_number 216
_space_group_name_Hall 'F -4 2 3'
_cell_length_a 6.400
_cell_length_b 6.400
_cell_length_c 6.400
_cell_angle_alpha 90.00
_cell_angle_beta 90.00
_cell_angle_gamma 90.00
loop_
_atom_site_label
_atom_site_type_symbol
_atom_site_fract_x
_atom_site_fract_y
_atom_site_fract_z
Fe1 Fe 0.000 0.000 0.000
As1 As 0.000 0.000 0.500
As2 As 0.250 0.250 0.750
Pt1 Pt 0.250 0.250 0.250
# ΔE_f, meV per atom: 313

---

Entry 3:
# PmSm PBE relaxed
data_PmSm
_chemical_formula_sum 'Pm2 Sm2'
_space_group_name_H-M_alt 'P m m n'
_space_group_IT_number 59
_cell_length_a 3.674
_cell_length_b 5.884
_cell_length_c 6.369
_cell_angle_alpha 90.00
_cell_angle_beta 90.00
_cell_angle_gamma 90.00
loop_
_space_group_symop_operation_xyz
'x,y,z'
'-x,-y,-z'
'-x+1/2,-y+1/2,z'
'x+1/2,y+1/2,-z'
'x+1/2,-y,-z'
'-x+1/2,y,z'
'-x,y+1/2,-z'
'x,-y+1/2,z'
loop_
_atom_site_label
_atom_site_type_symbol
_atom_site_fract_x
_atom_site_fract_y
_atom_site_fract_z
Pm1 Pm 0.250 0.250 0.084
Sm1 Sm 0.250 0.750 0.416
# ΔE_f, meV per atom: 34

---

Entry 4:
# Mg5NiIr PBE relaxed
data_Mg5NiIr
_chemical_formula_sum 'Mg20 Ni4 Ir4'
_space_group_name_H-M_alt 'C m c m'
_space_group_IT_number 63
_space_group_name_Hall '-C 2c 2'
_cell_length_a 7.114
_cell_length_b 6.101
_cell_length_c 11.870
_cell_angle_alpha 90.00
_cell_angle_beta 90.00
_cell_angle_gamma 90.00
loop_
_atom_site_label
_atom_site_type_symbol
_atom_site_fract_x
_atom_site_fract_y
_atom_site_fract_z
Mg1 Mg 0.000 0.010 0.250
Mg2 Mg 0.210 0.321 0.111
Ni1 Ni 0.000 0.428 0.750
Ir1 Ir 0.000 0.000 0.000
# ΔE_f, meV per atom: -130

---

Entry 5:
# TaAgMo2 PBE relaxed
data_TaAgMo2
_chemical_formula_sum 'Ta1 Ag1 Mo2'
_space_group_name_H-M_alt 'P 4 m m'
_space_group_IT_number 99
_space_group_name_Hall 'P 4 -2'
_cell_length_a 3.255
_cell_length_b 3.255
_cell_length_c 6.398
_cell_angle_alpha 90.00
_cell_angle_beta 90.00
_cell_angle_gamma 90.00
loop_
_atom_site_label
_atom_site_type_symbol
_atom_site_fract_x
_atom_site_fract_y
_atom_site_fract_z
Ta1 Ta 0.000 0.000 0.000
Ag1 Ag 0.500 0.500 0.267
Mo1 Mo 0.000 0.000 0.539
Mo2 Mo 0.500 0.500 0.759
# ΔE_f, meV per atom: 263

---

Entry 6:
# SrLa2HgO PBE relaxed
data_SrLa2HgO
_chemical_formula_sum 'Sr1 La2 Hg1 O1'
_space_group_name_H-M_alt 'P 4/m m m'
_space_group_IT_number 123
_space_group_name_Hall '-P 4 2'
_cell_length_a 5.056
_cell_length_b 5.056
_cell_length_c 5.207
_cell_angle_alpha 90.00
_cell_angle_beta 90.00
_cell_angle_gamma 90.00
loop_
_atom_site_label
_atom_site_type_symbol
_atom_site_fract_x
_atom_site_fract_y
_atom_site_fract_z
Sr1 Sr 0.000 0.000 0.000
La1 La 0.000 0.500 0.500
Hg1 Hg 0.500 0.500 0.000
O1 O 0.000 0.000 0.500
# Formation energy from raw total energies, eV per atom: -1.2821

---

Entry 7:
# CeNd2ScSb4 PBE relaxed
data_CeNd2ScSb4
_chemical_formula_sum 'Ce1 Nd2 Sc1 Sb4'
_space_group_name_H-M_alt 'P 1 2/m 1'
_space_group_IT_number 10
_space_group_name_Hall '-P 2y'
_cell_length_a 7.657
_cell_length_b 4.436
_cell_length_c 7.684
_cell_angle_alpha 90.00
_cell_angle_beta 109.44
_cell_angle_gamma 90.00
loop_
_atom_site_label
_atom_site_type_symbol
_atom_site_fract_x
_atom_site_fract_y
_atom_site_fract_z
Ce1 Ce 0.000 0.000 0.000
Nd1 Nd 0.000 0.500 0.500
Nd2 Nd 0.500 0.000 0.500
Sc1 Sc 0.500 0.500 0.000
Sb1 Sb 0.255 0.500 0.239
Sb2 Sb 0.264 0.000 0.767
# Formation energy from raw total energies, eV per atom: -1.0673

---

Entry 8:
# NaTlSnSe3 PBE relaxed
data_NaTlSnSe3
_chemical_formula_sum 'Na4 Tl4 Sn4 Se12'
_space_group_name_H-M_alt 'C m c m'
_space_group_IT_number 63
_space_group_name_Hall '-C 2c 2'
_cell_length_a 7.498
_cell_length_b 14.898
_cell_length_c 7.238
_cell_angle_alpha 90.00
_cell_angle_beta 90.00
_cell_angle_gamma 90.00
loop_
_atom_site_label
_atom_site_type_symbol
_atom_site_fract_x
_atom_site_fract_y
_atom_site_fract_z
Na1 Na 0.000 0.084 0.250
Tl1 Tl 0.000 0.295 0.750
Sn1 Sn 0.000 0.441 0.250
Se1 Se 0.000 0.273 0.250
Se2 Se 0.237 0.500 0.000
# Formation energy from raw total energies, eV per atom: -0.4899